HfZn2Hg2, relaxed, DFT PBE-GGA; energy of formation = 0.21 eV per atom; raw total energy = -12.0 eV per cell; space-group type = I4/mmm, No. 139; D(E_F) = 2.96 states/eV/cell; energy above the most stable polymorph in this dataset = 86 meV/atom; calculated density = 11.90 g/cm³
1.0
3.927 0.000 0.000
0.000 3.927 0.000
1.964 1.964 6.430
Zn Hf Hg
2 1 2
direct
0.750 0.250 0.500
0.250 0.750 0.500
0.000 0.000 0.000
0.392 0.392 0.215
0.608 0.608 0.785